Ce2InPd3: optimized geometry, GGA-PBE.

Unit cell a=6.790 b=6.790 c=6.404 alpha=90.00 beta=90.00 gamma=69.88
Sites, in units of the cell vectors:
Ce (0.012, 0.633, 0.500)
Ce (0.367, 0.988, 0.500)
Ce (0.633, 0.012, 0.000)
Ce (0.988, 0.367, 0.000)
In (0.279, 0.721, 0.996)
In (0.721, 0.279, 0.496)
Pd (0.002, 0.998, 0.249)
Pd (0.365, 0.367, 0.249)
Pd (0.367, 0.365, 0.749)
Pd (0.633, 0.635, 0.249)
Pd (0.635, 0.633, 0.749)
Pd (0.998, 0.002, 0.749)

ΔH_f (0 K) (eV per atom): -0.561
DOS(E_F) (states/eV/atom): 2.17